i) Compound: ScVCl3
Source: Alexandria
Functional: GGA-PBE
Structure: optimized geometry

Summary:
Space group: Pm-3m, No. 221

```
5
Lattice="5.010 0.000 0.000 0.000 5.010 0.000 0.000 0.000 5.010" Properties=species:S:1:pos:R:3 pbc="T T T"
Sc 0.000 0.000 0.000
V 2.505 2.505 2.505
Cl 0.000 0.000 2.505
Cl 0.000 2.505 0.000
Cl 2.505 0.000 0.000
```

---

ii) Compound: ScVCl3
Source: Alexandria
Functional: GGA-PBE
Structure: optimized geometry

Summary:
Space group: Pm-3m, No. 221

```
5
Lattice="4.892 0.000 0.000 0.000 4.892 0.000 0.000 0.000 4.892" Properties=species:S:1:pos:R:3 pbc="T T T"
Sc 0.000 0.000 0.000
V 2.446 2.446 2.446
Cl 0.000 2.446 2.446
Cl 2.446 0.000 2.446
Cl 2.446 2.446 0.000
```

---

The data favor i); the next most stable structure lies 9.4 kJ/mol of atoms above it.

---

i) Compound: Sc2VCl
Source: Alexandria
Functional: GGA-PBE
Structure: optimized geometry

Summary:
Space group: Fm-3m, No. 225

```
4
Lattice="0.000 3.449 3.449 3.449 0.000 3.449 3.449 3.449 0.000" Properties=species:S:1:pos:R:3 pbc="T T T"
Sc 1.724 1.724 1.724
Sc 5.173 5.173 5.173
V 0.000 0.000 0.000
Cl 3.449 3.449 3.449
```

---

ii) Compound: Sc2VCl
Source: Alexandria
Functional: GGA-PBE
Structure: optimized geometry

Summary:
Space group: I-42d, No. 122

```
8
Lattice="-3.766 3.766 2.934 3.766 -3.766 2.934 3.766 3.766 -2.934" Properties=species:S:1:pos:R:3 pbc="T T T"
Sc 5.649 1.451 -0.733
Sc 1.451 1.883 0.733
Sc -1.883 2.315 2.200
Sc 2.315 1.883 3.667
V 3.766 0.000 1.467
V 0.000 0.000 2.934
Cl 0.000 0.000 0.000
Cl 0.000 3.766 1.467
```

---

The data favor ii); the next most stable structure lies 17.5 kJ/mol of atoms above it.

---

i) Compound: Sc2WCl
Source: Alexandria
Functional: GGA-PBE
Structure: optimized geometry

Summary:
Space group: Imm2, No. 44

```
4
Lattice="-1.504 2.453 5.485 1.504 -2.453 5.485 1.504 2.453 -5.485" Properties=species:S:1:pos:R:3 pbc="T T T"
Sc 0.000 0.000 0.000
Sc 0.000 2.453 2.305
W 1.504 0.000 2.459
Cl 0.000 0.000 5.523
```

---

ii) Compound: Sc2WCl
Source: Alexandria
Functional: GGA-PBE
Structure: optimized geometry

Summary:
Space group: R-3m, No. 166

```
4
Lattice="1.523 0.879 9.545 -1.523 0.879 9.545 0.000 -1.759 9.545" Properties=species:S:1:pos:R:3 pbc="T T T"
Sc 0.000 0.000 2.667
Sc 0.000 0.000 25.969
W 0.000 0.000 0.000
Cl 0.000 0.000 14.318
```

---

The data favor ii); the next most stable structure lies 5.6 kJ/mol of atoms above it.